Entry 1:
Density functional theory data (PBE) for a relaxed structure of BaAg2RhBr8.

Cell and atoms, written as POSCAR:
```
BaAg2RhBr8
1.0
-1.639 5.960 2.095
-3.761 -6.462 2.184
5.300 -1.909 6.919
Ba Ag Rh Br
1 2 1 8
Direct
0.000 0.000 0.500 Ba
0.473 0.498 0.759 Ag
0.527 0.502 0.241 Ag
0.000 0.000 0.000 Rh
0.039 0.783 0.217 Br
0.545 0.775 0.018 Br
0.017 0.243 0.173 Br
0.961 0.217 0.783 Br
0.455 0.225 0.982 Br
0.983 0.757 0.827 Br
0.410 0.694 0.515 Br
0.590 0.306 0.485 Br
```

Values from the calculation:
The calculation puts the uncorrected formation energy at -9.1 eV per formula unit. For the density of states at the Fermi level, the calculation gives 0.594 states/eV per atom.

Entry 2:
Density functional theory data (PBE) for a relaxed structure of Ba6AgRh2Br3.

Cell and atoms, written as POSCAR:
```
Ba6AgRh2Br3
1.0
7.994 0.002 -0.002
-3.993 6.925 -0.002
-1.336 -2.313 8.305
Ba Ag Rh Br
6 1 2 3
Direct
0.928 0.566 0.784 Ba
0.711 0.711 0.215 Ba
0.072 0.434 0.216 Ba
0.566 0.928 0.784 Ba
0.289 0.289 0.785 Ba
0.434 0.072 0.216 Ba
0.000 0.000 0.000 Ag
0.333 0.667 0.000 Rh
0.667 0.333 0.000 Rh
0.162 0.838 0.500 Br
0.838 0.162 0.500 Br
0.500 0.500 0.500 Br
```

Values from the calculation:
The calculation puts the uncorrected formation energy at -11.4 eV per formula unit. For the density of states at the Fermi level, the calculation gives 0.623 states/eV per atom.

Entry 3:
Density functional theory data (PBE) for a relaxed structure of BaAg2RuBr8.

Cell and atoms, written as POSCAR:
```
BaAg2RuBr8
1.0
-3.653 1.170 -5.424
5.177 -5.928 0.569
-6.181 -5.418 3.169
Ba Ag Ru Br
1 2 1 8
Direct
0.000 0.000 0.500 Ba
0.498 0.493 0.738 Ag
0.502 0.507 0.262 Ag
0.000 0.000 0.000 Ru
0.038 0.786 0.203 Br
0.554 0.760 0.011 Br
0.986 0.227 0.191 Br
0.962 0.214 0.797 Br
0.446 0.240 0.989 Br
0.014 0.773 0.809 Br
0.419 0.693 0.507 Br
0.581 0.307 0.493 Br
```

Values from the calculation:
The calculation puts the uncorrected formation energy at -8.7 eV per formula unit. For the density of states at the Fermi level, the calculation gives 0.756 states/eV per atom.

Entry 4:
Density functional theory data (PBE) for a relaxed structure of BaAgSBr.

Cell and atoms, written as POSCAR:
```
BaAgSBr
1.0
4.577 0.000 0.000
2.288 3.963 0.000
2.288 1.321 14.090
Ba Ag S Br
2 2 2 2
Direct
0.084 0.084 0.749 Ba
0.916 0.916 0.251 Ba
0.688 0.688 0.937 Ag
0.312 0.312 0.063 Ag
0.625 0.625 0.124 S
0.375 0.375 0.876 S
0.793 0.793 0.622 Br
0.207 0.207 0.378 Br
```

Values from the calculation:
The calculation puts the uncorrected formation energy at -5.2 eV per formula unit. For the density of states at the Fermi level, the calculation gives 0.000 states/eV per atom.

Entry 5:
Density functional theory data (PBE) for a relaxed structure of BaAgSe2Br.

Cell and atoms, written as POSCAR:
```
BaAgSe2Br
1.0
-0.750 -4.427 4.423
-2.056 -4.033 -4.385
5.804 -1.929 -0.947
Br Se Ba Ag
1 2 1 1
Direct
0.000 0.000 0.500 Br
0.000 0.500 0.000 Se
0.500 0.000 0.000 Se
0.000 0.000 0.000 Ba
0.500 0.500 0.500 Ag
```

Values from the calculation:
Its energy above the most stable polymorph in this dataset is 796 meV/atom. The calculation puts the uncorrected formation energy at -0.1 eV per formula unit. For the density of states at the Fermi level, the calculation gives 1.287 states/eV per atom.

Entry 6:
Density functional theory data (PBE) for a relaxed structure of BaAgSe2Br.

Cell and atoms, written as POSCAR:
```
BaAgSe2Br
1.0
-2.738 -4.219 1.122
2.117 -0.125 4.697
-4.100 3.175 1.933
Br Se Ba Ag
1 2 1 1
Direct
0.000 0.000 0.500 Br
0.000 0.500 0.000 Se
0.500 0.000 0.000 Se
0.500 0.500 0.500 Ba
0.000 0.000 0.000 Ag
```

Values from the calculation:
Its energy above the most stable polymorph in this dataset is 0 meV/atom. The calculation puts the uncorrected formation energy at -4.1 eV per formula unit. For the density of states at the Fermi level, the calculation gives 0.435 states/eV per atom.